# La4ThN5

Crystalline La4ThN5 at its relaxed geometry (PBE-GGA, the Alexandria database).

Results
excess energy over the best structure of this formula in the dataset: 0 meV per atom
total DFT energy (no corrections): -82.944 eV/f.u.
uncorrected formation energy: -1.419 eV per atom

Cell lengths 6.4688, 6.4688, 6.4688 Å; angles 99.51, 99.51, 132.04 degrees
With the nearest neighbours (Å) after each atom.
Atoms (fractional coordinates):
La1 0.1018 0.3004 0.4022  6 N 2.63-2.80
La2 0.3004 0.8982 0.1986  6 N 2.63-2.80
La3 0.6996 0.1018 0.8014  6 N 2.63-2.80
La4 0.8982 0.6996 0.5978  6 N 2.63-2.80
Th1 0.5000 0.5000 0.0000  6 N 2.50-2.63
N1 0.0000 0.0000 0.0000  2 Th 2.63, 4 La 2.65
N2 0.2164 0.5953 0.8118  1 Th 2.50, 5 La 2.63-2.80
N3 0.4047 0.2164 0.6211  1 Th 2.50, 5 La 2.63-2.80
N4 0.5953 0.7836 0.3789  1 Th 2.50, 5 La 2.63-2.80
N5 0.7836 0.4047 0.1882  1 Th 2.50, 5 La 2.63-2.80